1.
Here is an optimized crystal structure of NaGeAu3Se4 from OQMD. Energies are from PBE-GGA.

Calculated values
Relative energy among the computed polymorphs in meV per atom: 0

Unit cell a=5.8430 b=8.1266 c=9.7665 alpha=90.00 beta=97.81 gamma=90.00
Sites, in units of the cell vectors:
Na 0.2338 0.2500 0.3777
Na 0.7662 0.7500 0.6223
Ge 0.3074 0.7500 0.2604
Ge 0.6926 0.2500 0.7396
Au 0.1241 0.2500 0.7110
Au 0.2388 0.0718 0.9642
Au 0.2388 0.4282 0.9642
Au 0.7612 0.5718 0.0358
Au 0.7612 0.9282 0.0358
Au 0.8759 0.7500 0.2890
Se 0.0328 0.7500 0.9143
Se 0.2031 0.7500 0.4937
Se 0.4623 0.0027 0.7615
Se 0.4623 0.4973 0.7615
Se 0.5377 0.5027 0.2385
Se 0.5377 0.9973 0.2385
Se 0.7969 0.2500 0.5063
Se 0.9672 0.2500 0.0857

=====

2.
Here is an optimized crystal structure of Ni3B2 from OQMD. Energies are from PBE-GGA.

Calculated values
Magnetization in μB per formula unit: 0.0

Unit cell a=5.0892 b=5.0892 c=5.0892 alpha=60.00 beta=60.00 gamma=60.00
Sites, in units of the cell vectors:
Ni 0.1041 0.7500 0.3959
Ni 0.2500 0.6041 0.8959
Ni 0.3959 0.1041 0.7500
Ni 0.6041 0.8959 0.2500
Ni 0.7500 0.3959 0.1041
Ni 0.8959 0.2500 0.6041
B 0.1766 0.1766 0.1766
B 0.3234 0.3234 0.3234
B 0.6766 0.6766 0.6766
B 0.8234 0.8234 0.8234

=====

3.
Here is an optimized crystal structure of Dy3Mg3Cd2In from OQMD. Energies are from PBE-GGA.

Calculated values
Magnetization in μB per formula unit: 0.0

Unit cell a=7.5371 b=7.5371 c=4.6025 alpha=90.00 beta=90.00 gamma=120.00
Sites, in units of the cell vectors:
Dy 0.0000 0.5745 0.0000
Dy 0.4255 0.4255 0.0000
Dy 0.5745 0.0000 0.0000
Mg 0.0000 0.2439 0.5000
Mg 0.2439 0.0000 0.5000
Mg 0.7561 0.7561 0.5000
Cd 0.3333 0.6667 0.5000
Cd 0.6667 0.3333 0.5000
In 0.0000 0.0000 0.0000

=====

4.
Here is an optimized crystal structure of HfAg2Sn from OQMD. Energies are from PBE-GGA.

Calculated values
Magnetization in μB per formula unit: 0.0

Unit cell a=4.8181 b=4.8181 c=4.8181 alpha=60.00 beta=60.00 gamma=60.00
Sites, in units of the cell vectors:
Hf 0.0000 0.0000 0.0000
Ag 0.2500 0.2500 0.2500
Ag 0.5000 0.5000 0.5000
Sn 0.7500 0.7500 0.7500

=====

5.
Here is an optimized crystal structure of La2GdSn5Pb2 from OQMD. Energies are from PBE-GGA.

Calculated values
Relative energy among the computed polymorphs in meV per atom: 0
Magnetization in μB per formula unit: 0.0

Unit cell a=13.3513 b=13.3513 c=4.7643 alpha=90.00 beta=90.00 gamma=160.28
Sites, in units of the cell vectors:
La 0.1856 0.8144 0.0000
La 0.8144 0.1856 0.0000
Gd 0.0000 0.0000 0.0000
Sn 0.2885 0.7115 0.5000
Sn 0.4082 0.5918 0.0000
Sn 0.5000 0.5000 0.5000
Sn 0.5918 0.4082 0.0000
Sn 0.7115 0.2885 0.5000
Pb 0.0948 0.9052 0.5000
Pb 0.9052 0.0948 0.5000

=====

6.
Here is an optimized crystal structure of Sr2Cu2AsP from OQMD. Energies are from PBE-GGA.

Unit cell a=4.2090 b=4.2090 c=8.5424 alpha=90.00 beta=90.00 gamma=120.00
Sites, in units of the cell vectors:
Sr 0.0000 0.0000 0.2460
Sr 0.0000 0.0000 0.7540
Cu 0.3333 0.6667 0.0000
Cu 0.6667 0.3333 0.5000
As 0.3333 0.6667 0.5000
P 0.6667 0.3333 0.0000

=====

VASP energy values, unit eV per atom, following the record order: -3.453; -6.143; -2.825; -4.901; -4.757; -4.291.